No. 1
# SnGeAsHIr | the Alexandria database | PBE | relaxed
data_SnGeAsHIr
_chemical_formula_sum 'Sn1 Ge1 As1 H1 Ir1'
_symmetry_space_group_name_H-M 'P 1'
_symmetry_Int_Tables_number 1
_cell_length_a 3.8988
_cell_length_b 4.5673
_cell_length_c 6.2261
_cell_angle_alpha 75.95
_cell_angle_beta 73.63
_cell_angle_gamma 67.03
loop_
_symmetry_equiv_pos_as_xyz
'x,y,z'
loop_
_atom_site_label
_atom_site_type_symbol
_atom_site_fract_x
_atom_site_fract_y
_atom_site_fract_z
_atom_site_occupancy
Sn1 Sn 0.0000 0.0000 0.0000 1
Ge1 Ge 0.3889 0.5191 0.6131 1
As1 As 0.6853 0.9748 0.4654 1
H1 H 0.6225 0.5290 0.1286 1
Ir1 Ir 0.7410 0.6288 0.8561 1
# Relative energy among the computed polymorphs   0.022 eV/atom
# Size of the total moment   0.0 μB/f.u.

No. 2
# NbAu2Cl | the Alexandria database | PBE | relaxed
data_NbAu2Cl
_chemical_formula_sum 'Nb4 Au8 Cl4'
_symmetry_space_group_name_H-M 'F m -3 m'
_symmetry_Int_Tables_number 225
_symmetry_space_group_name_Hall '-F 4 2 3'
_cell_length_a 6.7706
_cell_length_b 6.7706
_cell_length_c 6.7706
_cell_angle_alpha 90.00
_cell_angle_beta 90.00
_cell_angle_gamma 90.00
loop_
_atom_site_label
_atom_site_type_symbol
_atom_site_fract_x
_atom_site_fract_y
_atom_site_fract_z
_atom_site_occupancy
Nb1 Nb 0.0000 0.0000 0.0000 1
Au1 Au 0.2500 0.2500 0.2500 1
Cl1 Cl 0.0000 0.0000 0.5000 1
# Relative energy among the computed polymorphs   0.295 eV/atom
# Size of the total moment   1.7 μB/f.u.
# Uncorrected formation energy   0.51 eV per atom

No. 3
# RbPdI | the Alexandria database | PBE | relaxed
data_RbPdI
_chemical_formula_sum 'Rb4 Pd4 I4'
_symmetry_space_group_name_H-M 'A m m 2'
_symmetry_Int_Tables_number 38
_cell_length_a 4.9201
_cell_length_b 10.1220
_cell_length_c 9.4437
_cell_angle_alpha 90.00
_cell_angle_beta 90.00
_cell_angle_gamma 90.00
loop_
_symmetry_equiv_pos_as_xyz
'x,y,z'
'-x,-y,z'
'-x,y,z'
'x,-y,z'
'x,y+1/2,z+1/2'
'-x,-y+1/2,z+1/2'
'-x,y+1/2,z+1/2'
'x,-y+1/2,z+1/2'
loop_
_atom_site_label
_atom_site_type_symbol
_atom_site_fract_x
_atom_site_fract_y
_atom_site_fract_z
_atom_site_occupancy
Rb1 Rb 0.0000 0.2376 0.0000 1
Pd1 Pd 0.0000 0.0000 0.7497 1
Pd2 Pd 0.5000 0.0000 0.9118 1
I1 I 0.5000 0.0000 0.1900 1
I2 I 0.5000 0.0000 0.6401 1
# Relative energy among the computed polymorphs   0.032 eV/atom
# Size of the total moment   0.0 μB/f.u.
# Uncorrected formation energy   -0.64 eV per atom

No. 4
# PrDy6Mg | the Alexandria database | PBE | relaxed
data_PrDy6Mg
_chemical_formula_sum 'Pr2 Dy12 Mg2'
_symmetry_space_group_name_H-M 'C 1 2/m 1'
_symmetry_Int_Tables_number 12
_cell_length_a 11.1726
_cell_length_b 5.0161
_cell_length_c 9.8834
_cell_angle_alpha 90.00
_cell_angle_beta 116.24
_cell_angle_gamma 90.00
loop_
_symmetry_equiv_pos_as_xyz
'x,y,z'
'-x,-y,-z'
'-x,y,-z'
'x,-y,z'
'x+1/2,y+1/2,z'
'-x+1/2,-y+1/2,-z'
'-x+1/2,y+1/2,-z'
'x+1/2,-y+1/2,z'
loop_
_atom_site_label
_atom_site_type_symbol
_atom_site_fract_x
_atom_site_fract_y
_atom_site_fract_z
_atom_site_occupancy
Pr1 Pr 0.0000 0.0000 0.0000 1
Dy1 Dy 0.0029 0.5000 0.7475 1
Dy2 Dy 0.2452 0.0000 0.3778 1
Dy3 Dy 0.2491 0.0000 0.8704 1
Mg1 Mg 0.0000 0.0000 0.5000 1
# Relative energy among the computed polymorphs   0.000 eV/atom
# Size of the total moment   0.0 μB/f.u.
# ΔE_f   0.030 eV per atom

- The lowest relative energy among the computed polymorphs belongs to which entry?
  PrDy6Mg